Entry 1:
Entry from Alexandria: an optimized crystal structure of Hf6TlSn (PBE).

a b c (Å): 4.438 4.438 8.860
angles (deg): 90.00 90.00 90.00
Space group P4/mmm (No. 123)
Unique sites:
Hf: 0.000 0.000 0.000 [1 per cell]
Hf: 0.000 0.000 0.500 [1 per cell]
Hf: 0.000 0.500 0.247 [4 per cell]
Tl: 0.500 0.500 0.500 [1 per cell]
Sn: 0.500 0.500 0.000 [1 per cell]

## Properties
* total moment: 0.00 μB/f.u.
* volume: 21.8 A^3/atom
* formation enthalpy at 0 K: -108.0 meV/atom



Entry 2:
Entry from Alexandria: an optimized crystal structure of NaMg2SnRu (PBE).

a b c (Å): 5.061 5.061 5.066
angles (deg): 90.00 90.00 90.00
Space group P4/mmm (No. 123)
Unique sites:
Na: 0.000 0.000 0.000 [1 per cell]
Mg: 0.000 0.500 0.500 [2 per cell]
Sn: 0.500 0.500 0.000 [1 per cell]
Ru: 0.500 0.500 0.500 [1 per cell]

## Properties
* total moment: 0.00 μB/f.u.
* volume: 26.0 A^3/atom
* formation enthalpy at 0 K: -41.2 meV/atom



Entry 3:
Entry from Alexandria: an optimized crystal structure of TaSi2Mo (PBE).

a b c (Å): 3.064 3.064 6.351
angles (deg): 90.00 90.00 90.00
Space group P4/mmm (No. 123)
Unique sites:
Ta: 0.000 0.000 0.000 [1 per cell]
Si: 0.500 0.500 0.277 [2 per cell]
Mo: 0.000 0.000 0.500 [1 per cell]

## Properties
* total moment: 0.00 μB/f.u.
* volume: 14.9 A^3/atom
* formation energy (no corrections): -0.16 eV/atom
* relative energy among the computed polymorphs: 228 meV/atom



Entry 4:
Entry from Alexandria: an optimized crystal structure of Tl3SnP (PBE).

a b c (Å): 5.345 5.345 5.345
angles (deg): 90.00 90.00 90.00
Space group Pm-3m (No. 221)
Unique sites:
Tl: 0.000 0.000 0.500 [3 per cell]
Sn: 0.500 0.500 0.500 [1 per cell]
P: 0.000 0.000 0.000 [1 per cell]

## Properties
* total moment: 0.00 μB/f.u.
* volume: 30.5 A^3/atom
* formation enthalpy at 0 K: 408.6 meV/atom
* relative energy among the computed polymorphs: 0 meV/atom



Entry 5:
Entry from Alexandria: an optimized crystal structure of Mn3HOs (PBE).

a b c (Å): 4.203 4.527 5.274
angles (deg): 89.69 89.82 89.85
Space group P1 (No. 1)
Unique sites:
Mn: 0.000 0.000 0.000 [1 per cell]
Mn: 0.001 0.004 0.479 [1 per cell]
Mn: 0.002 0.526 0.747 [1 per cell]
Mn: 0.520 0.157 0.245 [1 per cell]
Mn: 0.522 0.683 0.991 [1 per cell]
Mn: 0.539 0.163 0.744 [1 per cell]
H: 0.135 0.170 0.732 [1 per cell]
H: 0.306 0.342 0.001 [1 per cell]
Os: 0.007 0.508 0.242 [1 per cell]
Os: 0.511 0.672 0.499 [1 per cell]

## Properties
* total moment: 0.09 μB/f.u.
* volume: 10.0 A^3/atom
* relative energy among the computed polymorphs: 69 meV/atom



Entry 6:
Entry from Alexandria: an optimized crystal structure of Ac6RuPt2Cl3 (PBE).

a b c (Å): 20.441 4.370 9.405
angles (deg): 90.00 109.13 90.00
Space group C2/m (No. 12)
Unique sites:
Ac: 0.008 0.000 0.218 [4 per cell]
Ac: 0.150 0.500 0.100 [4 per cell]
Ac: 0.175 0.500 0.559 [4 per cell]
Ru: 0.000 0.500 0.000 [2 per cell]
Pt: 0.168 0.000 0.334 [4 per cell]
Cl: 0.000 0.500 0.500 [2 per cell]
Cl: 0.161 0.000 0.822 [4 per cell]

## Properties
* total moment: 0.00 μB/f.u.
* volume: 33.1 A^3/atom
* formation energy (no corrections): -1.30 eV/atom



Entry 7:
Entry from Alexandria: an optimized crystal structure of Ac4Sb2SN2 (PBE).

a b c (Å): 16.004 4.487 8.601
angles (deg): 90.00 115.25 90.00
Space group C2/m (No. 12)
Unique sites:
Ac: 0.019 0.000 0.277 [4 per cell]
Ac: 0.221 0.500 0.647 [4 per cell]
Sb: 0.101 0.500 0.056 [4 per cell]
S: 0.000 0.500 0.500 [2 per cell]
N: 0.174 0.000 0.492 [4 per cell]

## Properties
* total moment: 0.00 μB/f.u.
* volume: 31.0 A^3/atom
* formation energy (no corrections): -1.33 eV/atom



Entry 8:
Entry from Alexandria: an optimized crystal structure of La6BiAs2Se3 (PBE).

a b c (Å): 19.175 4.407 8.811
angles (deg): 90.00 102.89 90.00
Space group C2/m (No. 12)
Unique sites:
La: 0.004 0.000 0.265 [4 per cell]
La: 0.169 0.500 0.578 [4 per cell]
La: 0.172 0.500 0.095 [4 per cell]
Bi: 0.000 0.500 0.000 [2 per cell]
As: 0.168 0.000 0.335 [4 per cell]
Se: 0.000 0.500 0.500 [2 per cell]
Se: 0.164 0.000 0.833 [4 per cell]

## Properties
* total moment: 0.00 μB/f.u.
* volume: 30.2 A^3/atom
* formation energy (no corrections): -1.71 eV/atom



Entry 9:
Entry from Alexandria: an optimized crystal structure of Tl4CuSn3Se8 (PBE).

a b c (Å): 14.022 8.060 8.976
angles (deg): 90.00 121.63 90.00
Space group C2/m (No. 12)
Unique sites:
Tl: 0.000 0.000 0.000 [2 per cell]
Tl: 0.000 0.500 0.000 [2 per cell]
Tl: 0.250 0.250 0.000 [4 per cell]
Cu: 0.000 0.000 0.500 [2 per cell]
Sn: 0.000 0.500 0.500 [2 per cell]
Sn: 0.250 0.250 0.500 [4 per cell]
Se: 0.014 0.238 0.303 [8 per cell]
Se: 0.225 0.000 0.697 [4 per cell]
Se: 0.237 0.500 0.711 [4 per cell]

## Properties
* total moment: 0.00 μB/f.u.
* volume: 27.0 A^3/atom
* formation energy (no corrections): -0.33 eV/atom



Entry 10:
Entry from Alexandria: an optimized crystal structure of CeLuPaTl (PBE).

a b c (Å): 7.533 7.533 7.533
angles (deg): 90.00 90.00 90.00
Space group F-43m (No. 216)
Unique sites:
Ce: 0.000 0.000 0.000 [4 per cell]
Lu: 0.000 0.000 0.500 [4 per cell]
Pa: 0.250 0.250 0.250 [4 per cell]
Tl: 0.250 0.250 0.750 [4 per cell]

## Properties
* total moment: 1.99 μB/f.u.
* volume: 26.7 A^3/atom
* formation enthalpy at 0 K: 207.3 meV/atom



Entry 11:
Entry from Alexandria: an optimized crystal structure of Cs5Cd4Hg (PBE).

a b c (Å): 24.540 5.013 10.038
angles (deg): 90.00 113.15 90.00
Space group C2/m (No. 12)
Unique sites:
Cs: 0.000 0.000 0.000 [2 per cell]
Cs: 0.131 0.500 0.763 [4 per cell]
Cs: 0.200 0.500 0.287 [4 per cell]
Cd: 0.041 0.500 0.363 [4 per cell]
Cd: 0.117 0.000 0.438 [4 per cell]
Hg: 0.000 0.000 0.500 [2 per cell]

## Properties
* total moment: 0.00 μB/f.u.
* volume: 56.8 A^3/atom
* formation enthalpy at 0 K: -63.1 meV/atom



Entry 12:
Entry from Alexandria: an optimized crystal structure of TbY3Tm4 (PBE).

a b c (Å): 11.166 7.225 6.240
angles (deg): 90.00 90.00 90.00
Space group Pmn2_1 (No. 31)
Unique sites:
Tb: 0.000 0.128 0.000 [2 per cell]
Y: 0.000 0.873 0.499 [2 per cell]
Y: 0.250 0.127 0.336 [4 per cell]
Tm: 0.000 0.377 0.503 [2 per cell]
Tm: 0.000 0.622 0.003 [2 per cell]
Tm: 0.250 0.377 0.834 [4 per cell]

## Properties
* total moment: 0.00 μB/f.u.
* volume: 31.5 A^3/atom
* formation enthalpy at 0 K: 1.1 meV/atom
* relative energy among the computed polymorphs: 0 meV/atom